(1)
Compound: NaTaNO
Source: OQMD via LeMat-Bulk
Functional: GGA-PBE
Structure: relaxed

As for the total energy: -63.3 eV for the cell shown. Its symmetry is Pmc2_1. The excess energy over the best structure of this formula in the dataset is 0.088 eV per atom. The total moment is 0.0 μB/f.u.

a b c (Å): 3.6343 5.6436 6.0917
angles (deg): 90.00 90.00 90.00
Last column: nearest neighbours and their distance in Å.
Fractional coordinates of all 8 atoms:
N  0.0000  0.3323  0.6264  2 Ta 1.92-1.94
N  0.0000  0.8323  0.3736  2 Ta 1.92-1.94
Ta  0.0000  0.9902  0.6524  2 N 1.92-1.94, 2 O 1.99
Ta  0.0000  0.4902  0.3476  2 N 1.92-1.94, 2 O 1.99
Na  0.5000  0.9968  0.1573  2 O 2.36-2.51, 2 N 2.43
Na  0.5000  0.4968  0.8427  2 O 2.36-2.51, 2 N 2.43
O  0.5000  0.4346  0.2259  2 Ta 1.99
O  0.5000  0.9346  0.7741  2 Ta 1.99

***

(2)
Compound: NaTaNO
Source: OQMD via LeMat-Bulk
Functional: GGA-PBE
Structure: relaxed

As for the total energy: -63.7 eV for the cell shown. Its symmetry is P4/nmm. The excess energy over the best structure of this formula in the dataset is 0.037 eV per atom. The total moment is 0.0 μB/f.u.

a b c (Å): 4.3779 4.3779 4.3137
angles (deg): 90.00 90.00 90.00
Last column: nearest neighbours and their distance in Å.
Fractional coordinates of all 8 atoms:
O  0.0000  0.0000  0.0000  2 Ta 2.16, 4 Na 2.19
O  0.5000  0.5000  0.0000  2 Ta 2.16, 4 Na 2.19
N  0.0000  0.5000  0.4988  2 Na 2.16, 4 Ta 2.19
N  0.5000  0.0000  0.5012  2 Na 2.16, 4 Ta 2.19
Na  0.0000  0.5000  0.9989  2 N 2.16, 4 O 2.19
Na  0.5000  0.0000  0.0011  2 N 2.16, 4 O 2.19
Ta  0.0000  0.0000  0.5000  2 O 2.16, 4 N 2.19
Ta  0.5000  0.5000  0.5000  2 O 2.16, 4 N 2.19

***

(3)
Compound: NaTaNO
Source: OQMD via LeMat-Bulk
Functional: GGA-PBE
Structure: relaxed

As for the total energy: -57.9 eV for the cell shown. Its symmetry is P4/nmm. The excess energy over the best structure of this formula in the dataset is 0.762 eV per atom. The total moment is 0.9 μB/f.u.

a b c (Å): 3.2428 3.2428 8.1231
angles (deg): 90.00 90.00 90.00
Last column: nearest neighbours and their distance in Å.
Fractional coordinates of all 8 atoms:
O  0.5000  0.5000  0.0000  4 Ta 2.10, 4 O 2.29
O  0.0000  0.0000  0.0000  4 Ta 2.10, 4 O 2.29
Na  0.5000  0.5000  0.5000  4 Na 2.29, 4 N 2.46
Na  0.0000  0.0000  0.5000  4 Na 2.29, 4 N 2.46
Ta  0.5000  0.0000  0.1646  4 O 2.10
Ta  0.0000  0.5000  0.8354  4 O 2.10
N  0.0000  0.5000  0.2729  4 Na 2.46, 4 Ta 2.46, 4 O 2.75
N  0.5000  0.0000  0.7271  4 Na 2.46, 4 Ta 2.46, 4 O 2.75

***

(4)
Compound: NaTaNO
Source: OQMD via LeMat-Bulk
Functional: GGA-PBE
Structure: relaxed

As for the total energy: -128.1 eV for the cell shown. Its symmetry is Pca2_1. The excess energy over the best structure of this formula in the dataset is 0.000 eV per atom. The total moment is 0.0 μB/f.u.

a b c (Å): 5.9708 5.9940 5.2369
angles (deg): 90.00 90.00 90.00
Last column: nearest neighbours and their distance in Å.
Fractional coordinates of all 16 atoms:
N  0.3732  0.2010  0.1392  3 Ta 2.03-2.20
N  0.1268  0.2010  0.6392  3 Ta 2.03-2.20
N  0.6268  0.7990  0.6392  3 Ta 2.03-2.20
N  0.8732  0.7990  0.1392  3 Ta 2.03-2.20
Na  0.6224  0.4971  0.9754  3 O 2.37-2.46, 3 N 2.47-2.53
Na  0.8776  0.4971  0.4754  3 O 2.37-2.46, 3 N 2.47-2.53
Na  0.3776  0.5029  0.4754  3 O 2.37-2.46, 3 N 2.47-2.53
Na  0.1224  0.5029  0.9754  3 O 2.37-2.46, 3 N 2.47-2.53
Ta  0.3692  0.0066  0.4573  3 N 2.03-2.20, 3 O 2.16-2.21
Ta  0.8692  0.9934  0.4573  3 N 2.03-2.20, 3 O 2.16-2.21
Ta  0.6308  0.9934  0.9573  3 N 2.03-2.20, 3 O 2.16-2.21
Ta  0.1308  0.0066  0.9573  3 N 2.03-2.20, 3 O 2.16-2.21
O  0.6304  0.2187  0.6304  3 Ta 2.16-2.21, 2 Na 2.37-2.42
O  0.8696  0.2187  0.1304  3 Ta 2.16-2.21, 2 Na 2.37-2.42
O  0.1304  0.7813  0.6304  3 Ta 2.16-2.21, 2 Na 2.37-2.42
O  0.3696  0.7813  0.1304  3 Ta 2.16-2.21, 2 Na 2.37-2.42

***

(5)
Compound: NaTbNO
Source: OQMD via LeMat-Bulk
Functional: GGA-PBE
Structure: relaxed

As for the total energy: -49.3 eV for the cell shown. Its symmetry is Pmma. The excess energy over the best structure of this formula in the dataset is 0.037 eV per atom. The total moment is 1.0 μB/f.u.

a b c (Å): 4.1494 4.6775 6.7298
angles (deg): 90.00 90.00 90.00
Last column: nearest neighbours and their distance in Å.
Fractional coordinates of all 8 atoms:
Na  0.0000  0.4384  0.3226  3 N 2.34-2.35, 2 O 2.41
Na  0.0000  0.9384  0.6774  3 N 2.34-2.35, 2 O 2.41
N  0.0000  0.4386  0.6718  2 Tb 2.28, 3 Na 2.34-2.35
N  0.0000  0.9386  0.3282  2 Tb 2.28, 3 Na 2.34-2.35
O  0.5000  0.9387  0.8585  3 Tb 2.20-2.36, 2 Na 2.41
O  0.5000  0.4387  0.1415  3 Tb 2.20-2.36, 2 Na 2.41
Tb  0.5000  0.4383  0.8138  3 O 2.20-2.36, 2 N 2.28
Tb  0.5000  0.9383  0.1862  3 O 2.20-2.36, 2 N 2.28

***

(6)
Compound: NaTbNO
Source: OQMD via LeMat-Bulk
Functional: GGA-PBE
Structure: relaxed

As for the total energy: -47.4 eV for the cell shown. Its symmetry is P4/nmm. The excess energy over the best structure of this formula in the dataset is 0.265 eV per atom. The total moment is 1.0 μB/f.u.

a b c (Å): 3.7840 3.7840 8.1784
angles (deg): 90.00 90.00 90.00
Last column: nearest neighbours and their distance in Å.
Fractional coordinates of all 8 atoms:
Tb  0.7500  0.7500  0.8571  4 O 2.22
Tb  0.2500  0.2500  0.1429  4 O 2.22
O  0.7500  0.2500  0.0000  4 Tb 2.22
O  0.2500  0.7500  0.0000  4 Tb 2.22
N  0.7500  0.7500  0.3154  4 Na 2.42
N  0.2500  0.2500  0.6846  4 Na 2.42
Na  0.7500  0.2500  0.5000  4 N 2.42, 4 Na 2.68
Na  0.2500  0.7500  0.5000  4 N 2.42, 4 Na 2.68

***

(7)
Compound: NaTbNO
Source: OQMD via LeMat-Bulk
Functional: GGA-PBE
Structure: relaxed

As for the total energy: -49.3 eV for the cell shown. Its symmetry is P4/mmm. The excess energy over the best structure of this formula in the dataset is 0.030 eV per atom. The total moment is 1.0 μB/f.u.

a b c (Å): 4.8895 4.8895 4.6203
angles (deg): 90.00 90.00 90.00
Last column: nearest neighbours and their distance in Å.
Fractional coordinates of all 8 atoms:
Tb  0.5000  0.5000  0.5000  2 O 2.31, 4 N 2.44
Tb  0.0000  0.0000  0.5000  2 O 2.31, 4 N 2.44
N  0.0000  0.5000  0.4997  2 Na 2.31, 4 Tb 2.44
N  0.5000  0.0000  0.5003  2 Na 2.31, 4 Tb 2.44
Na  0.0000  0.5000  0.9998  2 N 2.31, 4 O 2.44
Na  0.5000  0.0000  0.0002  2 N 2.31, 4 O 2.44
O  0.5000  0.5000  0.0000  2 Tb 2.31, 4 Na 2.44
O  0.0000  0.0000  0.0000  2 Tb 2.31, 4 Na 2.44

***

(8)
Compound: NaTbNO
Source: OQMD via LeMat-Bulk
Functional: GGA-PBE
Structure: relaxed

As for the total energy: -97.6 eV for the cell shown. Its symmetry is Pca2_1. The excess energy over the best structure of this formula in the dataset is 0.094 eV per atom. The total moment is 1.0 μB/f.u.

a b c (Å): 6.7601 8.1276 4.8430
angles (deg): 90.00 90.00 90.00
Last column: nearest neighbours and their distance in Å.
Fractional coordinates of all 16 atoms:
O  0.5756  0.6352  0.5516  1 Tb 2.05, 2 Na 2.24-2.25
O  0.4244  0.3648  0.0516  1 Tb 2.05, 2 Na 2.24-2.25
O  0.0756  0.3648  0.5516  1 Tb 2.05, 2 Na 2.24-2.25
O  0.9244  0.6352  0.0516  1 Tb 2.05, 2 Na 2.24-2.25
N  0.4018  0.8895  0.0491  4 Tb 2.28-2.45
N  0.5982  0.1105  0.5491  4 Tb 2.28-2.45
N  0.0982  0.8895  0.5491  4 Tb 2.28-2.45
N  0.9018  0.1105  0.0491  4 Tb 2.28-2.45
Na  0.9053  0.6015  0.5515  4 O 2.24-2.44
Na  0.0947  0.3985  0.0515  4 O 2.24-2.44
Na  0.5947  0.6015  0.0515  4 O 2.24-2.44
Na  0.4053  0.3985  0.5515  4 O 2.24-2.44
Tb  0.5671  0.1419  0.0501  1 O 2.05, 1 N 2.28
Tb  0.4329  0.8581  0.5501  1 O 2.05, 1 N 2.28
Tb  0.0671  0.8581  0.0501  1 O 2.05, 1 N 2.28
Tb  0.9329  0.1419  0.5501  1 O 2.05, 1 N 2.28

***

(9)
Compound: NaTbNO
Source: OQMD via LeMat-Bulk
Functional: GGA-PBE
Structure: relaxed

As for the total energy: -49.3 eV for the cell shown. Its symmetry is P4/nmm. The excess energy over the best structure of this formula in the dataset is 0.027 eV per atom. The total moment is 1.0 μB/f.u.

a b c (Å): 4.9120 4.9120 4.6160
angles (deg): 90.00 90.00 90.00
Last column: nearest neighbours and their distance in Å.
Fractional coordinates of all 8 atoms:
O  0.2500  0.7500  0.0000  2 Tb 2.31, 4 Na 2.46
O  0.7500  0.2500  0.0000  2 Tb 2.31, 4 Na 2.46
Na  0.2500  0.2500  0.9993  2 N 2.31, 4 O 2.46
Na  0.7500  0.7500  0.0007  2 N 2.31, 4 O 2.46
Tb  0.2500  0.7500  0.5000  2 O 2.31, 4 N 2.46
Tb  0.7500  0.2500  0.5000  2 O 2.31, 4 N 2.46
N  0.2500  0.2500  0.4996  2 Na 2.31, 4 Tb 2.46
N  0.7500  0.7500  0.5004  2 Na 2.31, 4 Tb 2.46

***

(10)
Compound: NaTbNO
Source: OQMD via LeMat-Bulk
Functional: GGA-PBE
Structure: relaxed

As for the total energy: -95.4 eV for the cell shown. Its symmetry is Pca2_1. The excess energy over the best structure of this formula in the dataset is 0.235 eV per atom. The total moment is 1.0 μB/f.u.

a b c (Å): 5.8399 6.4443 7.6676
angles (deg): 90.00 90.00 90.00
Last column: nearest neighbours and their distance in Å.
Fractional coordinates of all 16 atoms:
O  0.1000  0.3933  0.8946  3 Tb 2.20-2.21
O  0.1000  0.8933  0.1054  3 Tb 2.20-2.21
O  0.6000  0.1067  0.8946  3 Tb 2.20-2.21
O  0.6000  0.6067  0.1054  3 Tb 2.20-2.21
Tb  0.4764  0.4291  0.8771  1 N 2.15, 3 O 2.20-2.21
Tb  0.9764  0.5709  0.1229  1 N 2.15, 3 O 2.20-2.21
Tb  0.9764  0.0709  0.8771  1 N 2.15, 3 O 2.20-2.21
Tb  0.4764  0.9291  0.1229  1 N 2.15, 3 O 2.20-2.21
N  0.1128  0.4096  0.3455  1 Tb 2.15, 3 Na 2.32-2.37
N  0.6128  0.5904  0.6545  1 Tb 2.15, 3 Na 2.32-2.37
N  0.1128  0.9096  0.6545  1 Tb 2.15, 3 Na 2.32-2.37
N  0.6128  0.0903  0.3455  1 Tb 2.15, 3 Na 2.32-2.37
Na  0.0132  0.5649  0.6112  3 N 2.32-2.37, 1 O 2.49
Na  0.0132  0.0649  0.3888  3 N 2.32-2.37, 1 O 2.49
Na  0.5132  0.9351  0.6112  3 N 2.32-2.37, 1 O 2.49
Na  0.5132  0.4351  0.3888  3 N 2.32-2.37, 1 O 2.49